The following is a DFT calculation (GGA-PBE) of YTlSeF2 after structural relaxation.

## Properties
total energy = -5.75 eV/atom
mass density = 5875 kg/m3

CIF file:
```
data_YTlSeF2
_chemical_formula_sum 'Y1 Tl1 Se1 F2'
_cell_length_a 4.5204
_cell_length_b 4.5204
_cell_length_c 5.6748
_cell_angle_alpha 90.00
_cell_angle_beta 90.00
_cell_angle_gamma 90.00
_symmetry_space_group_name_H-M 'P 4/m m m'
_symmetry_Int_Tables_number 123
_symmetry_space_group_name_Hall '-P 4 2'
loop_
_atom_site_label
_atom_site_type_symbol
_atom_site_fract_x
_atom_site_fract_y
_atom_site_fract_z
Y1 Y 0.0000 0.0000 0.0000
Tl1 Tl 0.5000 0.5000 0.5000
Se1 Se 0.0000 0.0000 0.5000
F1 F 0.0000 0.5000 0.0000
```

The following is a DFT calculation (GGA-PBE) of ZrTlSeF2 after structural relaxation.

## Properties
total energy = -5.61 eV/atom
DOS at the Fermi energy = 2.82 states/eV/f.u.
mass density = 6483 kg/m3

CIF file:
```
data_ZrTlSeF2
_chemical_formula_sum 'Zr1 Tl1 Se1 F2'
_cell_length_a 4.4354
_cell_length_b 4.4354
_cell_length_c 5.3716
_cell_angle_alpha 90.00
_cell_angle_beta 90.00
_cell_angle_gamma 90.00
_symmetry_space_group_name_H-M 'P 4/m m m'
_symmetry_Int_Tables_number 123
_symmetry_space_group_name_Hall '-P 4 2'
loop_
_atom_site_label
_atom_site_type_symbol
_atom_site_fract_x
_atom_site_fract_y
_atom_site_fract_z
Zr1 Zr 0.0000 0.0000 0.0000
Tl1 Tl 0.5000 0.5000 0.5000
Se1 Se 0.0000 0.0000 0.5000
F1 F 0.0000 0.5000 0.0000
```

The following is a DFT calculation (GGA-PBE) of TmSeF after structural relaxation.

## Properties
total energy = -5.51 eV/atom
DOS at the Fermi energy = 0.78 states/eV/f.u.
mass density = 8189 kg/m3

CIF file:
```
data_TmSeF
_chemical_formula_sum 'Tm2 Se2 F2'
_cell_length_a 3.4561
_cell_length_b 3.4561
_cell_length_c 9.0613
_cell_angle_alpha 90.00
_cell_angle_beta 90.00
_cell_angle_gamma 90.00
_symmetry_space_group_name_H-M 'I 4 m m'
_symmetry_Int_Tables_number 107
_symmetry_space_group_name_Hall 'I 4 -2'
loop_
_atom_site_label
_atom_site_type_symbol
_atom_site_fract_x
_atom_site_fract_y
_atom_site_fract_z
Tm1 Tm 0.0000 0.0000 0.0000
Se1 Se 0.0000 0.0000 0.3268
F1 F 0.0000 0.0000 0.6154
```

The following is a DFT calculation (GGA-PBE) of TmSeF after structural relaxation.

## Properties
total energy = -6.11 eV/atom
DOS at the Fermi energy = 0.00 states/eV/f.u.
mass density = 8308 kg/m3

CIF file:
```
data_TmSeF
_chemical_formula_sum 'Tm1 Se1 F1'
_cell_length_a 3.9398
_cell_length_b 3.9398
_cell_length_c 3.9682
_cell_angle_alpha 90.00
_cell_angle_beta 90.00
_cell_angle_gamma 120.00
_symmetry_space_group_name_H-M 'P -6 m 2'
_symmetry_Int_Tables_number 187
_symmetry_space_group_name_Hall 'P -6 2'
loop_
_atom_site_label
_atom_site_type_symbol
_atom_site_fract_x
_atom_site_fract_y
_atom_site_fract_z
Tm1 Tm 0.0000 0.0000 0.0000
Se1 Se 0.6667 0.3333 0.5000
F1 F 0.3333 0.6667 0.0000
```

The following is a DFT calculation (GGA-PBE) of TmSeF after structural relaxation.

## Properties
total energy = -6.12 eV/atom
DOS at the Fermi energy = 0.00 states/eV/f.u.
mass density = 7080 kg/m3

CIF file:
```
data_TmSeF
_chemical_formula_sum 'Tm4 Se4 F4'
_cell_length_a 4.0445
_cell_length_b 4.0445
_cell_length_c 17.6754
_cell_angle_alpha 90.00
_cell_angle_beta 90.00
_cell_angle_gamma 120.00
_symmetry_space_group_name_H-M 'P 63/m m c'
_symmetry_Int_Tables_number 194
_symmetry_space_group_name_Hall '-P 6c 2c'
loop_
_atom_site_label
_atom_site_type_symbol
_atom_site_fract_x
_atom_site_fract_y
_atom_site_fract_z
Tm1 Tm 0.0000 0.0000 0.0000
Tm2 Tm 0.3333 0.6667 0.2500
Se1 Se 0.3333 0.6667 0.0890
F1 F 0.0000 0.0000 0.2500
F2 F 0.3333 0.6667 0.7500
```

The following is a DFT calculation (GGA-PBE) of Tm4Se5F2 after structural relaxation.

## Properties
total energy = -5.87 eV/atom
DOS at the Fermi energy = 0.00 states/eV/f.u.
mass density = 5815 kg/m3

CIF file:
```
data_Tm4Se5F2
_chemical_formula_sum 'Tm8 Se10 F4'
_cell_length_a 18.6123
_cell_length_b 3.9890
_cell_length_c 8.8134
_cell_angle_alpha 90.00
_cell_angle_beta 104.64
_cell_angle_gamma 90.00
_symmetry_space_group_name_H-M 'C 1 2/m 1'
_symmetry_Int_Tables_number 12
_symmetry_space_group_name_Hall '-C 2y'
loop_
_atom_site_label
_atom_site_type_symbol
_atom_site_fract_x
_atom_site_fract_y
_atom_site_fract_z
Tm1 Tm 0.0264 0.0000 0.2403
Tm2 Tm 0.1644 0.5000 0.5443
Se1 Se 0.0000 0.5000 0.0000
Se2 Se 0.1100 0.0000 0.6986
Se3 Se 0.1837 0.0000 0.3232
F1 F 0.0511 0.5000 0.3646
```

The following is a DFT calculation (GGA-PBE) of TmSeF after structural relaxation.

## Properties
total energy = -6.09 eV/atom
DOS at the Fermi energy = 0.00 states/eV/f.u.
mass density = 7114 kg/m3

CIF file:
```
data_TmSeF
_chemical_formula_sum 'Tm4 Se4 F4'
_cell_length_a 9.7354
_cell_length_b 3.9576
_cell_length_c 6.7710
_cell_angle_alpha 90.00
_cell_angle_beta 107.22
_cell_angle_gamma 90.00
_symmetry_space_group_name_H-M 'C 1 2/m 1'
_symmetry_Int_Tables_number 12
_symmetry_space_group_name_Hall '-C 2y'
loop_
_atom_site_label
_atom_site_type_symbol
_atom_site_fract_x
_atom_site_fract_y
_atom_site_fract_z
Tm1 Tm 0.2050 0.0000 0.2508
Se1 Se 0.1004 0.0000 0.8162
F1 F 0.1712 0.5000 0.4025
```

The following is a DFT calculation (GGA-PBE) of Tm4Se5F after structural relaxation.

## Properties
total energy = -5.67 eV/atom
DOS at the Fermi energy = 1.77 states/eV/f.u.
mass density = 5864 kg/m3

CIF file:
```
data_Tm4Se5F
_chemical_formula_sum 'Tm8 Se10 F2'
_cell_length_a 14.9401
_cell_length_b 4.0434
_cell_length_c 10.7305
_cell_angle_alpha 90.00
_cell_angle_beta 107.84
_cell_angle_gamma 90.00
_symmetry_space_group_name_H-M 'C 1 2/m 1'
_symmetry_Int_Tables_number 12
_symmetry_space_group_name_Hall '-C 2y'
loop_
_atom_site_label
_atom_site_type_symbol
_atom_site_fract_x
_atom_site_fract_y
_atom_site_fract_z
Tm1 Tm 0.0040 0.0000 0.3258
Tm2 Tm 0.1498 0.5000 0.0779
Se1 Se 0.0000 0.5000 0.5000
Se2 Se 0.1509 0.0000 0.8872
Se3 Se 0.1632 0.0000 0.2613
F1 F 0.0000 0.5000 0.0000
```

The following is a DFT calculation (GGA-PBE) of Tm2SeF after structural relaxation.

## Properties
total energy = -5.54 eV/atom
DOS at the Fermi energy = 1.11 states/eV/f.u.
mass density = 7383 kg/m3

CIF file:
```
data_Tm2SeF
_chemical_formula_sum 'Tm6 Se3 F3'
_cell_length_a 3.7859
_cell_length_b 3.7859
_cell_length_c 23.6912
_cell_angle_alpha 90.00
_cell_angle_beta 90.00
_cell_angle_gamma 120.00
_symmetry_space_group_name_H-M 'R -3 m'
_symmetry_Int_Tables_number 166
_symmetry_space_group_name_Hall '-R 3 2"'
loop_
_atom_site_label
_atom_site_type_symbol
_atom_site_fract_x
_atom_site_fract_y
_atom_site_fract_z
Tm1 Tm 0.0000 0.0000 0.0894
Se1 Se 0.0000 0.0000 0.5000
F1 F 0.0000 0.0000 0.0000
```

The following is a DFT calculation (GGA-PBE) of TmSeF after structural relaxation.

## Properties
total energy = -6.08 eV/atom
DOS at the Fermi energy = 0.00 states/eV/f.u.
mass density = 8274 kg/m3

CIF file:
```
data_TmSeF
_chemical_formula_sum 'Tm2 Se2 F2'
_cell_length_a 3.9355
_cell_length_b 3.9355
_cell_length_c 7.9863
_cell_angle_alpha 90.00
_cell_angle_beta 90.00
_cell_angle_gamma 120.00
_symmetry_space_group_name_H-M 'P 63/m m c'
_symmetry_Int_Tables_number 194
_symmetry_space_group_name_Hall '-P 6c 2c'
loop_
_atom_site_label
_atom_site_type_symbol
_atom_site_fract_x
_atom_site_fract_y
_atom_site_fract_z
Tm1 Tm 0.3333 0.6667 0.2500
Se1 Se 0.0000 0.0000 0.0000
F1 F 0.3333 0.6667 0.7500
```

The following is a DFT calculation (GGA-PBE) of USeF2 after structural relaxation.

## Properties
total energy = -7.07 eV/atom
DOS at the Fermi energy = 4.15 states/eV/f.u.
mass density = 6552 kg/m3

CIF file:
```
data_USeF2
_chemical_formula_sum 'U2 Se2 F4'
_cell_length_a 5.4682
_cell_length_b 8.7017
_cell_length_c 3.7814
_cell_angle_alpha 90.00
_cell_angle_beta 90.00
_cell_angle_gamma 90.00
_symmetry_space_group_name_H-M 'C m m m'
_symmetry_Int_Tables_number 65
_symmetry_space_group_name_Hall '-C 2 2'
loop_
_atom_site_label
_atom_site_type_symbol
_atom_site_fract_x
_atom_site_fract_y
_atom_site_fract_z
U1 U 0.0000 0.0000 0.0000
Se1 Se 0.0000 0.5000 0.0000
F1 F 0.0000 0.1487 0.5000
```

The following is a DFT calculation (GGA-PBE) of U3Se3F4 after structural relaxation.

## Properties
total energy = -7.40 eV/atom
DOS at the Fermi energy = 25.47 states/eV/f.u.
mass density = 8189 kg/m3

CIF file:
```
data_U3Se3F4
_chemical_formula_sum 'U12 Se12 F16'
_cell_length_a 9.4090
_cell_length_b 9.4090
_cell_length_c 9.4090
_cell_angle_alpha 90.00
_cell_angle_beta 90.00
_cell_angle_gamma 90.00
_symmetry_space_group_name_H-M 'I -4 3 d'
_symmetry_Int_Tables_number 220
_symmetry_space_group_name_Hall 'I -4bd 2c 3'
loop_
_atom_site_label
_atom_site_type_symbol
_atom_site_fract_x
_atom_site_fract_y
_atom_site_fract_z
U1 U 0.0000 0.2500 0.8750
Se1 Se 0.0000 0.2500 0.3750
F1 F 0.0686 0.0686 0.0686
```

Among the records above, which one has the highest mass density? number 4

Among the records above, which one has the lowest total energy? U3Se3F4